# LiNp2Si3Pt4 PBE optimized geometry
data_LiNp2Si3Pt4
_chemical_formula_sum 'Li1 Np2 Si3 Pt4'
_cell_length_a 4.135
_cell_length_b 4.135
_cell_length_c 10.199
_cell_angle_alpha 90.00
_cell_angle_beta 90.00
_cell_angle_gamma 90.00
_symmetry_space_group_name_H-M 'P -4 m 2'
_symmetry_Int_Tables_number 115
loop_
_symmetry_equiv_pos_as_xyz
'x,y,z'
'y,-x,-z'
'-x,-y,z'
'-y,x,-z'
'-x,y,z'
'-y,-x,-z'
'x,-y,z'
'y,x,-z'
loop_
_atom_site_label
_atom_site_type_symbol
_atom_site_fract_x
_atom_site_fract_y
_atom_site_fract_z
_atom_site_occupancy
Li1 Li 0.000 0.000 0.000 1
Np1 Np 0.000 0.500 0.756 1
Si1 Si 0.000 0.500 0.366 1
Si2 Si 0.500 0.500 0.000 1
Pt1 Pt 0.000 0.000 0.500 1
Pt2 Pt 0.000 0.500 0.134 1
Pt3 Pt 0.500 0.500 0.500 1
# Size of the total moment   8.1 μB/f.u.
# Formation energy without anion corrections   -7.109 eV/f.u.